# Gd2YSb3 | OQMD via LeMat-Bulk | PBE | optimized geometry
data_Gd2YSb3
_chemical_formula_sum 'Gd2 Y1 Sb3'
_symmetry_space_group_name_H-M 'P 1'
_symmetry_Int_Tables_number 1
_cell_length_a 4.410
_cell_length_b 4.410
_cell_length_c 10.794
_cell_angle_alpha 90.00
_cell_angle_beta 90.00
_cell_angle_gamma 120.00
loop_
_symmetry_equiv_pos_as_xyz
'x,y,z'
loop_
_atom_site_label
_atom_site_type_symbol
_atom_site_fract_x
_atom_site_fract_y
_atom_site_fract_z
Gd1 Gd 0.333 0.667 0.167
Gd2 Gd 0.667 0.333 0.833
Y1 Y 0.000 0.000 0.500
Sb1 Sb 0.000 0.000 0.000
Sb2 Sb 0.333 0.667 0.665
Sb3 Sb 0.667 0.333 0.335
# Final energy ... -35.1 eV per cell
# Space-group type ... P-3m1, No. 164

---

# GdYSb2 | OQMD via LeMat-Bulk | PBE | optimized geometry
data_GdYSb2
_chemical_formula_sum 'Gd1 Y1 Sb2'
_symmetry_space_group_name_H-M 'P 1'
_symmetry_Int_Tables_number 1
_cell_length_a 4.405
_cell_length_b 4.405
_cell_length_c 6.230
_cell_angle_alpha 90.00
_cell_angle_beta 90.00
_cell_angle_gamma 90.00
loop_
_symmetry_equiv_pos_as_xyz
'x,y,z'
loop_
_atom_site_label
_atom_site_type_symbol
_atom_site_fract_x
_atom_site_fract_y
_atom_site_fract_z
Gd1 Gd 0.000 0.000 0.000
Y1 Y 0.500 0.500 0.500
Sb1 Sb 0.000 0.000 0.500
Sb2 Sb 0.500 0.500 0.000
# Final energy ... -24.0 eV per cell
# Space-group type ... P4/mmm, No. 123

---

# GdZrSb | OQMD via LeMat-Bulk | PBE | optimized geometry
data_GdZrSb
_chemical_formula_sum 'Gd4 Zr4 Sb4'
_symmetry_space_group_name_H-M 'P 1'
_symmetry_Int_Tables_number 1
_cell_length_a 4.242
_cell_length_b 4.242
_cell_length_c 16.648
_cell_angle_alpha 90.00
_cell_angle_beta 90.00
_cell_angle_gamma 90.00
loop_
_symmetry_equiv_pos_as_xyz
'x,y,z'
loop_
_atom_site_label
_atom_site_type_symbol
_atom_site_fract_x
_atom_site_fract_y
_atom_site_fract_z
Gd1 Gd 0.000 0.500 0.000
Gd2 Gd 0.000 0.500 0.500
Gd3 Gd 0.500 0.000 0.000
Gd4 Gd 0.500 0.000 0.500
Zr1 Zr 0.000 0.000 0.180
Zr2 Zr 0.000 0.000 0.820
Zr3 Zr 0.500 0.500 0.320
Zr4 Zr 0.500 0.500 0.680
Sb1 Sb 0.000 0.000 0.356
Sb2 Sb 0.000 0.000 0.644
Sb3 Sb 0.500 0.500 0.144
Sb4 Sb 0.500 0.500 0.856
# Final energy ... -75.8 eV per cell
# Space-group type ... I4/mmm, No. 139

---

# GdZrSb | OQMD via LeMat-Bulk | PBE | optimized geometry
data_GdZrSb
_chemical_formula_sum 'Gd4 Zr4 Sb4'
_symmetry_space_group_name_H-M 'P 1'
_symmetry_Int_Tables_number 1
_cell_length_a 6.992
_cell_length_b 6.992
_cell_length_c 6.992
_cell_angle_alpha 90.00
_cell_angle_beta 90.00
_cell_angle_gamma 90.00
loop_
_symmetry_equiv_pos_as_xyz
'x,y,z'
loop_
_atom_site_label
_atom_site_type_symbol
_atom_site_fract_x
_atom_site_fract_y
_atom_site_fract_z
Gd1 Gd 0.000 0.000 0.000
Gd2 Gd 0.000 0.500 0.500
Gd3 Gd 0.500 0.000 0.500
Gd4 Gd 0.500 0.500 0.000
Zr1 Zr 0.000 0.000 0.500
Zr2 Zr 0.000 0.500 0.000
Zr3 Zr 0.500 0.000 0.000
Zr4 Zr 0.500 0.500 0.500
Sb1 Sb 0.250 0.250 0.250
Sb2 Sb 0.250 0.750 0.750
Sb3 Sb 0.750 0.250 0.750
Sb4 Sb 0.750 0.750 0.250
# Final energy ... -73.4 eV per cell
# Space-group type ... F-43m, No. 216

---

# GdSc | OQMD via LeMat-Bulk | PBE | optimized geometry
data_GdSc
_chemical_formula_sum 'Gd1 Sc1'
_symmetry_space_group_name_H-M 'P 1'
_symmetry_Int_Tables_number 1
_cell_length_a 3.466
_cell_length_b 3.466
_cell_length_c 5.419
_cell_angle_alpha 90.00
_cell_angle_beta 90.00
_cell_angle_gamma 120.00
loop_
_symmetry_equiv_pos_as_xyz
'x,y,z'
loop_
_atom_site_label
_atom_site_type_symbol
_atom_site_fract_x
_atom_site_fract_y
_atom_site_fract_z
Gd1 Gd 0.000 0.000 0.000
Sc1 Sc 0.667 0.333 0.500
# Calculated formation energy ... 0.0595 eV/atom
# Energy relative to the lowest polymorph listed for this composition ... 0 meV/atom
# Space-group type ... P-6m2, No. 187

---

# GdSc | OQMD via LeMat-Bulk | PBE | optimized geometry
data_GdSc
_chemical_formula_sum 'Gd4 Sc4'
_symmetry_space_group_name_H-M 'P 1'
_symmetry_Int_Tables_number 1
_cell_length_a 6.187
_cell_length_b 6.187
_cell_length_c 6.187
_cell_angle_alpha 90.00
_cell_angle_beta 90.00
_cell_angle_gamma 90.00
loop_
_symmetry_equiv_pos_as_xyz
'x,y,z'
loop_
_atom_site_label
_atom_site_type_symbol
_atom_site_fract_x
_atom_site_fract_y
_atom_site_fract_z
Gd1 Gd 0.000 0.000 0.000
Gd2 Gd 0.000 0.500 0.500
Gd3 Gd 0.500 0.000 0.500
Gd4 Gd 0.500 0.500 0.000
Sc1 Sc 0.000 0.000 0.500
Sc2 Sc 0.000 0.500 0.000
Sc3 Sc 0.500 0.000 0.000
Sc4 Sc 0.500 0.500 0.500
# Calculated formation energy ... 0.7473 eV/atom
# Energy relative to the lowest polymorph listed for this composition ... 688 meV/atom
# Space-group type ... Fm-3m, No. 225

---

# GdSc | OQMD via LeMat-Bulk | PBE | optimized geometry
data_GdSc
_chemical_formula_sum 'Gd4 Sc4'
_symmetry_space_group_name_H-M 'P 1'
_symmetry_Int_Tables_number 1
_cell_length_a 6.578
_cell_length_b 6.578
_cell_length_c 6.578
_cell_angle_alpha 90.00
_cell_angle_beta 90.00
_cell_angle_gamma 90.00
loop_
_symmetry_equiv_pos_as_xyz
'x,y,z'
loop_
_atom_site_label
_atom_site_type_symbol
_atom_site_fract_x
_atom_site_fract_y
_atom_site_fract_z
Gd1 Gd 0.000 0.000 0.000
Gd2 Gd 0.000 0.500 0.500
Gd3 Gd 0.500 0.000 0.500
Gd4 Gd 0.500 0.500 0.000
Sc1 Sc 0.250 0.250 0.750
Sc2 Sc 0.250 0.750 0.250
Sc3 Sc 0.750 0.250 0.250
Sc4 Sc 0.750 0.750 0.750
# Calculated formation energy ... 1.9071 eV/atom
# Energy relative to the lowest polymorph listed for this composition ... 1848 meV/atom
# Space-group type ... F-43m, No. 216

---

# GdScSi | OQMD via LeMat-Bulk | PBE | optimized geometry
data_GdScSi
_chemical_formula_sum 'Gd4 Sc4 Si4'
_symmetry_space_group_name_H-M 'P 1'
_symmetry_Int_Tables_number 1
_cell_length_a 6.680
_cell_length_b 6.680
_cell_length_c 6.680
_cell_angle_alpha 90.00
_cell_angle_beta 90.00
_cell_angle_gamma 90.00
loop_
_symmetry_equiv_pos_as_xyz
'x,y,z'
loop_
_atom_site_label
_atom_site_type_symbol
_atom_site_fract_x
_atom_site_fract_y
_atom_site_fract_z
Gd1 Gd 0.000 0.000 0.000
Gd2 Gd 0.000 0.500 0.500
Gd3 Gd 0.500 0.000 0.500
Gd4 Gd 0.500 0.500 0.000
Sc1 Sc 0.000 0.000 0.500
Sc2 Sc 0.000 0.500 0.000
Sc3 Sc 0.500 0.000 0.000
Sc4 Sc 0.500 0.500 0.500
Si1 Si 0.250 0.250 0.250
Si2 Si 0.250 0.750 0.750
Si3 Si 0.750 0.250 0.750
Si4 Si 0.750 0.750 0.250
# Final energy ... -71.3 eV per cell
# Space-group type ... F-43m, No. 216

---

# GdScSi | OQMD via LeMat-Bulk | PBE | optimized geometry
data_GdScSi
_chemical_formula_sum 'Gd4 Sc4 Si4'
_symmetry_space_group_name_H-M 'P 1'
_symmetry_Int_Tables_number 1
_cell_length_a 6.805
_cell_length_b 6.805
_cell_length_c 6.805
_cell_angle_alpha 90.00
_cell_angle_beta 90.00
_cell_angle_gamma 90.00
loop_
_symmetry_equiv_pos_as_xyz
'x,y,z'
loop_
_atom_site_label
_atom_site_type_symbol
_atom_site_fract_x
_atom_site_fract_y
_atom_site_fract_z
Gd1 Gd 0.000 0.000 0.000
Gd2 Gd 0.000 0.500 0.500
Gd3 Gd 0.500 0.000 0.500
Gd4 Gd 0.500 0.500 0.000
Sc1 Sc 0.250 0.250 0.750
Sc2 Sc 0.250 0.750 0.250
Sc3 Sc 0.750 0.250 0.250
Sc4 Sc 0.750 0.750 0.750
Si1 Si 0.250 0.250 0.250
Si2 Si 0.250 0.750 0.750
Si3 Si 0.750 0.250 0.750
Si4 Si 0.750 0.750 0.250
# Final energy ... -60.3 eV per cell
# Space-group type ... F-43m, No. 216

---

# SmGdSc2Sn2 | OQMD via LeMat-Bulk | PBE | optimized geometry
data_SmGdSc2Sn2
_chemical_formula_sum 'Sm2 Gd2 Sc4 Sn4'
_symmetry_space_group_name_H-M 'P 1'
_symmetry_Int_Tables_number 1
_cell_length_a 4.460
_cell_length_b 4.460
_cell_length_c 16.382
_cell_angle_alpha 90.00
_cell_angle_beta 90.00
_cell_angle_gamma 90.00
loop_
_symmetry_equiv_pos_as_xyz
'x,y,z'
loop_
_atom_site_label
_atom_site_type_symbol
_atom_site_fract_x
_atom_site_fract_y
_atom_site_fract_z
Sm1 Sm 0.000 0.000 0.000
Sm2 Sm 0.500 0.500 0.500
Gd1 Gd 0.000 0.000 0.349
Gd2 Gd 0.500 0.500 0.849
Sc1 Sc 0.000 0.500 0.175
Sc2 Sc 0.000 0.500 0.675
Sc3 Sc 0.500 0.000 0.175
Sc4 Sc 0.500 0.000 0.675
Sn1 Sn 0.000 0.000 0.546
Sn2 Sn 0.000 0.000 0.804
Sn3 Sn 0.500 0.500 0.046
Sn4 Sn 0.500 0.500 0.304
# Final energy ... -67.8 eV per cell
# Space-group type ... I4mm, No. 107